# K2ThCdSe4 (PBE, optimized geometry)
data_K2ThCdSe4
_space_group_name_H-M_alt 'P 1'
_space_group_IT_number 1
_cell_length_a 7.390
_cell_length_b 4.287
_cell_length_c 8.159
_cell_angle_alpha 90.00
_cell_angle_beta 109.13
_cell_angle_gamma 90.00
loop_
_space_group_symop_operation_xyz
'x,y,z'
loop_
_atom_site_label
_atom_site_type_symbol
_atom_site_fract_x
_atom_site_fract_y
_atom_site_fract_z
K1 K 0.000 0.000 0.000
K2 K 0.500 0.500 0.000
Th1 Th 0.000 0.500 0.500
Cd1 Cd 0.500 0.000 0.500
Se1 Se 0.225 0.000 0.717
Se2 Se 0.269 0.500 0.303
Se3 Se 0.731 0.500 0.697
Se4 Se 0.775 0.000 0.283
# Crystal system: monoclinic
# Volume (Å³ per atom): 30.53
# E_tot (eV/atom): -4.3647
# Raw formation energy (eV per atom): -1.3062



# K4Th3CdSe8 (PBE, optimized geometry)
data_K4Th3CdSe8
_space_group_name_H-M_alt 'P 1'
_space_group_IT_number 1
_cell_length_a 9.141
_cell_length_b 9.141
_cell_length_c 9.141
_cell_angle_alpha 56.65
_cell_angle_beta 56.65
_cell_angle_gamma 56.65
loop_
_space_group_symop_operation_xyz
'x,y,z'
loop_
_atom_site_label
_atom_site_type_symbol
_atom_site_fract_x
_atom_site_fract_y
_atom_site_fract_z
K1 K 0.000 0.000 0.000
K2 K 0.000 0.500 0.500
K3 K 0.500 0.000 0.500
K4 K 0.500 0.500 0.000
Th1 Th 0.000 0.000 0.500
Th2 Th 0.000 0.500 0.000
Th3 Th 0.500 0.000 0.000
Cd1 Cd 0.500 0.500 0.500
Se1 Se 0.230 0.739 0.739
Se2 Se 0.238 0.238 0.238
Se3 Se 0.261 0.261 0.770
Se4 Se 0.261 0.770 0.261
Se5 Se 0.739 0.230 0.739
Se6 Se 0.739 0.739 0.230
Se7 Se 0.762 0.762 0.762
Se8 Se 0.770 0.261 0.261
# Crystal system: trigonal
# Volume (Å³ per atom): 31.15
# E_tot (eV/atom): -4.8845
# Raw formation energy (eV per atom): -1.4194



# K2TiCdSe4 (PBE, optimized geometry)
data_K2TiCdSe4
_space_group_name_H-M_alt 'P 1'
_space_group_IT_number 1
_cell_length_a 7.129
_cell_length_b 7.129
_cell_length_c 7.444
_cell_angle_alpha 121.40
_cell_angle_beta 121.40
_cell_angle_gamma 84.93
loop_
_space_group_symop_operation_xyz
'x,y,z'
loop_
_atom_site_label
_atom_site_type_symbol
_atom_site_fract_x
_atom_site_fract_y
_atom_site_fract_z
K1 K 0.000 0.000 0.000
K2 K 0.750 0.250 0.500
Ti1 Ti 0.499 0.501 0.000
Cd1 Cd 0.249 0.751 0.500
Se1 Se 0.207 0.460 0.059
Se2 Se 0.399 0.150 0.608
Se3 Se 0.540 0.793 0.941
Se4 Se 0.850 0.601 0.392
# Crystal system: monoclinic
# Volume (Å³ per atom): 33.34
# E_tot (eV/atom): -4.1572
# Raw formation energy (eV per atom): -1.0393



# KTiCd2Se (PBE, optimized geometry)
data_KTiCd2Se
_space_group_name_H-M_alt 'P 1'
_space_group_IT_number 1
_cell_length_a 5.446
_cell_length_b 5.446
_cell_length_c 5.848
_cell_angle_alpha 90.00
_cell_angle_beta 90.00
_cell_angle_gamma 90.00
loop_
_space_group_symop_operation_xyz
'x,y,z'
loop_
_atom_site_label
_atom_site_type_symbol
_atom_site_fract_x
_atom_site_fract_y
_atom_site_fract_z
K1 K 0.000 0.000 0.000
Ti1 Ti 0.500 0.500 0.000
Cd1 Cd 0.000 0.500 0.500
Cd2 Cd 0.500 0.000 0.500
Se1 Se 0.000 0.000 0.500
# Crystal system: tetragonal
# Volume (Å³ per atom): 34.69
# E_tot (eV/atom): -2.1413
# Raw formation energy (eV per atom): 0.7201



# K2TlCdSe (PBE, optimized geometry)
data_K2TlCdSe
_space_group_name_H-M_alt 'P 1'
_space_group_IT_number 1
_cell_length_a 6.388
_cell_length_b 6.388
_cell_length_c 5.409
_cell_angle_alpha 90.00
_cell_angle_beta 90.00
_cell_angle_gamma 90.00
loop_
_space_group_symop_operation_xyz
'x,y,z'
loop_
_atom_site_label
_atom_site_type_symbol
_atom_site_fract_x
_atom_site_fract_y
_atom_site_fract_z
K1 K 0.000 0.500 0.000
K2 K 0.500 0.000 0.000
Tl1 Tl 0.000 0.000 0.000
Cd1 Cd 0.000 0.000 0.500
Se1 Se 0.500 0.500 0.500
# Crystal system: tetragonal
# Volume (Å³ per atom): 44.14
# E_tot (eV/atom): -1.7159
# Raw formation energy (eV per atom): 0.0763



# KTl2CdSe (PBE, optimized geometry)
data_KTl2CdSe
_space_group_name_H-M_alt 'P 1'
_space_group_IT_number 1
_cell_length_a 6.328
_cell_length_b 6.328
_cell_length_c 5.673
_cell_angle_alpha 90.00
_cell_angle_beta 90.00
_cell_angle_gamma 90.00
loop_
_space_group_symop_operation_xyz
'x,y,z'
loop_
_atom_site_label
_atom_site_type_symbol
_atom_site_fract_x
_atom_site_fract_y
_atom_site_fract_z
K1 K 0.000 0.000 0.000
Tl1 Tl 0.000 0.500 0.000
Tl2 Tl 0.500 0.000 0.000
Cd1 Cd 0.500 0.500 0.500
Se1 Se 0.000 0.000 0.500
# Crystal system: tetragonal
# Volume (Å³ per atom): 45.43
# E_tot (eV/atom): -1.7087
# Raw formation energy (eV per atom): 0.3373